Computed, not measured: a crystal of Mn2BeZn relaxed with PBEsol at the meta-GGA SCAN level of DFT.

CIF file:
```
data_Mn2BeZn
_chemical_formula_sum 'Mn2 Be1 Zn1'
_symmetry_space_group_name_H-M 'P 1'
_symmetry_Int_Tables_number 1
_symmetry_space_group_name_Hall 'P 1'
_cell_length_a 2.6855
_cell_length_b 2.6855
_cell_length_c 5.7835
_cell_angle_alpha 90.00
_cell_angle_beta 90.00
_cell_angle_gamma 90.00
loop_
_atom_site_label
_atom_site_type_symbol
_atom_site_fract_x
_atom_site_fract_y
_atom_site_fract_z
Be1 Be 0.5000 0.5000 0.7721
Zn1 Zn 0.0000 0.0000 0.5162
Mn1 Mn 0.0000 0.0000 0.9993
Mn2 Mn 0.5000 0.5000 0.2123
```



Computed, not measured: a crystal of Mn2BeZn relaxed with PBEsol at the meta-GGA SCAN level of DFT.

CIF file:
```
data_Mn2BeZn
_chemical_formula_sum 'Mn2 Be1 Zn1'
_symmetry_space_group_name_H-M 'P 1'
_symmetry_Int_Tables_number 1
_symmetry_space_group_name_Hall 'P 1'
_cell_length_a 3.9188
_cell_length_b 3.9198
_cell_length_c 3.9188
_cell_angle_alpha 60.01
_cell_angle_beta 90.00
_cell_angle_gamma 119.99
loop_
_atom_site_label
_atom_site_type_symbol
_atom_site_fract_x
_atom_site_fract_y
_atom_site_fract_z
Be1 Be 0.7500 0.5000 0.7500
Zn1 Zn 0.5000 0.0000 0.5000
Mn1 Mn 0.0000 0.0000 0.0000
Mn2 Mn 0.2500 0.5000 0.2500
```



Computed, not measured: a crystal of Mn2BeZn relaxed with PBEsol at the meta-GGA SCAN level of DFT.

CIF file:
```
data_Mn2BeZn
_chemical_formula_sum 'Mn2 Be1 Zn1'
_symmetry_space_group_name_H-M 'P 1'
_symmetry_Int_Tables_number 1
_symmetry_space_group_name_Hall 'P 1'
_cell_length_a 2.7437
_cell_length_b 3.8619
_cell_length_c 4.0489
_cell_angle_alpha 90.00
_cell_angle_beta 90.00
_cell_angle_gamma 90.00
loop_
_atom_site_label
_atom_site_type_symbol
_atom_site_fract_x
_atom_site_fract_y
_atom_site_fract_z
Be1 Be 0.0000 0.5000 0.5000
Zn1 Zn 0.5000 0.0000 0.5000
Mn1 Mn 0.0000 0.0000 0.0000
Mn2 Mn 0.5000 0.5000 0.0000
```



Computed, not measured: a crystal of MnBeZn relaxed with PBEsol at the meta-GGA SCAN level of DFT.

CIF file:
```
data_MnBeZn
_chemical_formula_sum 'Mn1 Be1 Zn1'
_symmetry_space_group_name_H-M 'P 1'
_symmetry_Int_Tables_number 1
_symmetry_space_group_name_Hall 'P 1'
_cell_length_a 2.6350
_cell_length_b 2.6351
_cell_length_c 5.0327
_cell_angle_alpha 105.15
_cell_angle_beta 105.18
_cell_angle_gamma 90.00
loop_
_atom_site_label
_atom_site_type_symbol
_atom_site_fract_x
_atom_site_fract_y
_atom_site_fract_z
Be1 Be 0.0054 0.0055 0.0108
Zn1 Zn 0.3431 0.3431 0.6861
Mn1 Mn 0.6515 0.6515 0.3031
```



For the records above, the corresponding energy of formation from the pure elements values read -0.077, -0.161, -0.036, -0.119 eV/atom.
For the records above, the corresponding ΔE to the lowest computed polymorph values read 0.0837, 0.0000, 0.1242, 0.0000 eV/atom.